Record 1
DFT (PBE-GGA) results for crystalline AlCr2SiBr at its relaxed geometry.

The structure in extended XYZ format:
```
5
Lattice="4.9116 0.0000 0.0000 0.0000 4.9116 0.0000 0.0000 0.0000 5.0930" Properties=species:S:1:pos:R:3 pbc="T T T"
Al 0.0000 0.0000 0.0000
Cr 0.0000 2.4558 0.0000
Cr 2.4558 0.0000 0.0000
Si 2.4558 2.4558 2.5465
Br 0.0000 0.0000 2.5465
```

## Properties
The density of states at the Fermi level comes out at 4.1 states/eV/f.u. As for the uncorrected formation energy: 1.316 eV per atom.


Record 2
DFT (PBE-GGA) results for crystalline Al2CrWBr at its relaxed geometry.

The structure in extended XYZ format:
```
5
Lattice="5.0145 0.0000 0.0000 0.0000 5.0145 0.0000 0.0000 0.0000 4.7610" Properties=species:S:1:pos:R:3 pbc="T T T"
Al 0.0000 2.5073 0.0000
Al 2.5073 0.0000 0.0000
Cr 0.0000 0.0000 2.3805
W 2.5073 2.5073 0.0000
Br 2.5073 2.5073 2.3805
```

## Properties
The density of states at the Fermi level comes out at 8.7 states/eV/f.u. As for the uncorrected formation energy: 1.651 eV per atom.


Record 3
DFT (PBE-GGA) results for crystalline AlCrWBr2 at its relaxed geometry.

The structure in extended XYZ format:
```
5
Lattice="4.7229 0.0000 0.0000 0.0000 4.7229 0.0000 0.0000 0.0000 5.3188" Properties=species:S:1:pos:R:3 pbc="T T T"
Al 0.0000 0.0000 0.0000
Cr 2.3615 2.3615 2.6594
W 0.0000 0.0000 2.6594
Br 0.0000 2.3615 0.0000
Br 2.3615 0.0000 0.0000
```

## Properties
The density of states at the Fermi level comes out at 8.2 states/eV/f.u. As for the uncorrected formation energy: 1.902 eV per atom.


Record 4
DFT (PBE-GGA) results for crystalline CsAlBr at its relaxed geometry.

The structure in extended XYZ format:
```
6
Lattice="3.9826 0.0000 0.0000 -0.0668 4.1496 0.0000 -1.9450 -2.0790 13.1430" Properties=species:S:1:pos:R:3 pbc="T T T"
Cs 0.0000 0.0000 0.0000
Cs -0.0047 0.0043 4.5590
Al -0.0042 0.0011 9.9326
Al 1.9525 2.0764 9.2598
Br 1.9570 2.0760 2.1914
Br 1.9529 2.0784 6.6773
```

## Properties
The density of states at the Fermi level comes out at 0.9 states/eV/f.u. As for the uncorrected formation energy: -0.725 eV per atom.


Record 5
DFT (PBE-GGA) results for crystalline CsAl3Br at its relaxed geometry.

The structure in extended XYZ format:
```
5
Lattice="5.8044 0.0000 0.0000 0.0000 5.8044 0.0000 0.0000 0.0000 5.8044" Properties=species:S:1:pos:R:3 pbc="T T T"
Cs 0.0000 0.0000 0.0000
Al 0.0000 2.9022 2.9022
Al 2.9022 0.0000 2.9022
Al 2.9022 2.9022 0.0000
Br 2.9022 2.9022 2.9022
```

## Properties
The density of states at the Fermi level comes out at 3.4 states/eV/f.u. As for the uncorrected formation energy: 0.588 eV per atom. Its energy above the most stable polymorph in this dataset is 0.000 eV/atom.


Record 6
DFT (PBE-GGA) results for crystalline Cs2AlBr at its relaxed geometry.

The structure in extended XYZ format:
```
4
Lattice="0.0000 4.5895 4.5895 4.5895 0.0000 4.5895 4.5895 4.5895 0.0000" Properties=species:S:1:pos:R:3 pbc="T T T"
Cs 2.2947 2.2947 2.2947
Cs 6.8842 6.8842 6.8842
Al 0.0000 0.0000 0.0000
Br 4.5895 4.5895 4.5895
```

## Properties
The density of states at the Fermi level comes out at 8.3 states/eV/f.u. As for the uncorrected formation energy: -0.299 eV per atom. Its energy above the most stable polymorph in this dataset is 0.021 eV/atom.


Record 7
DFT (PBE-GGA) results for crystalline CsAlBr4 at its relaxed geometry.

The structure in extended XYZ format:
```
24
Lattice="12.6567 0.0000 0.0000 0.0000 7.6440 0.0000 0.0000 0.0000 10.2855" Properties=species:S:1:pos:R:3 pbc="T T T"
Cs 2.3082 1.9110 1.6433
Cs 4.0202 5.7330 6.7860
Cs 8.6365 1.9110 3.4995
Cs 10.3485 5.7330 8.6423
Al 0.8172 1.9110 7.1897
Al 5.5111 5.7330 2.0470
Al 7.1456 1.9110 8.2386
Al 11.8394 5.7330 3.0958
Br 1.0966 0.0230 8.5436
Br 1.0966 3.7990 8.5436
Br 1.3252 5.7330 3.9675
Br 2.4796 1.9110 5.5655
Br 3.8488 5.7330 0.4227
Br 5.0032 1.9110 9.1103
Br 5.2317 3.8450 3.4008
Br 5.2317 7.6210 3.4008
Br 7.4250 0.0230 6.8847
Br 7.4250 3.7990 6.8847
Br 7.6535 5.7330 1.1753
Br 8.8079 1.9110 9.8628
Br 10.1771 5.7330 4.7200
Br 11.3315 1.9110 6.3180
Br 11.5600 3.8450 1.7419
Br 11.5600 7.6210 1.7419
```

## Properties
The density of states at the Fermi level comes out at 0.0 states/eV/f.u. As for the uncorrected formation energy: -1.441 eV per atom.


Record 8
DFT (PBE-GGA) results for crystalline CsAl2Br at its relaxed geometry.

The structure in extended XYZ format:
```
4
Lattice="0.0000 4.0833 4.0833 4.0833 0.0000 4.0833 4.0833 4.0833 0.0000" Properties=species:S:1:pos:R:3 pbc="T T T"
Cs 0.0000 0.0000 0.0000
Al 2.0416 2.0416 2.0416
Al 6.1249 6.1249 6.1249
Br 4.0833 4.0833 4.0833
```

## Properties
The density of states at the Fermi level comes out at 3.6 states/eV/f.u. As for the uncorrected formation energy: 0.446 eV per atom.